Computed, not measured: an optimized crystal structure of Nd8Co2Rh at the PBE level of DFT.

**ΔE_f**: -0.91 eV per formula unit
**Total magnetic moment**: 0.00 μB per cell
**Final energy**: -5.511 eV per atom

Cell: 6.429 7.515 7.515 Å, 113.34 100.46 100.46°
Positions (direct):
Nd 0.367 0.653 0.923
Rh 0.171 0.007 0.007
Nd 0.791 0.644 0.644
Nd 0.182 0.362 0.362
Nd 0.591 0.352 0.082
Nd 0.367 0.923 0.653
Co 0.487 0.694 0.317
Co 0.487 0.317 0.694
Nd 0.983 0.204 0.794
Nd 0.591 0.082 0.352
Nd 0.983 0.794 0.204